#P
A plane-wave DFT calculation with PBE was carried out for crystalline NdErTl at its relaxed geometry.

It has space group P6_3/mmc (No. 194), with a = 5.4696 Å, b = 5.4696 Å, c = 6.7963 Å, α = 90.00°, β = 90.00° and γ = 120.00°. The inequivalent atoms are Nd at (0.0000, 0.0000, 0.0000), Er at (0.3333, 0.6667, 0.2500) and Tl at (0.3333, 0.6667, 0.7500).

The total magnetic moment is 0.0 μB per formula unit. The density of states at the Fermi level comes out at 6.6 states/eV/cell.

#Q
A plane-wave DFT calculation with PBE was carried out for crystalline NdErTl at its relaxed geometry.

It has space group F-43m (No. 216), with a = 7.428 Å, b = 7.428 Å, c = 7.428 Å, α = 90.00°, β = 90.00° and γ = 90.00°. The inequivalent atoms are Nd at (0.000, 0.000, 0.000), Er at (0.000, 0.000, 0.500) and Tl at (0.250, 0.250, 0.250).

The total magnetic moment is 0.0 μB per formula unit. The density of states at the Fermi level comes out at 21.4 states/eV/cell.

Best to worst by energy: #P, #Q.

#P
A plane-wave DFT calculation with PBE was carried out for crystalline Nd2Er4Tl at its relaxed geometry.

It has space group Pmna (No. 53), with a = 6.532 Å, b = 6.271 Å, c = 10.635 Å, α = 90.00°, β = 90.00° and γ = 90.00°. The inequivalent atoms are Nd at (0.000, 0.242, 0.043), Er at (0.000, 0.070, 0.345), Er at (0.250, 0.401, 0.750) and Tl at (0.000, 0.500, 0.500).

The total magnetic moment is 0.0 μB per formula unit. The density of states at the Fermi level comes out at 16.7 states/eV/cell.

#Q
A plane-wave DFT calculation with PBE was carried out for crystalline Nd2Er4Tl at its relaxed geometry.

It has space group P2_1/m (No. 11), with a = 5.869 Å, b = 6.652 Å, c = 11.451 Å, α = 90.00°, β = 103.62° and γ = 90.00°. The inequivalent atoms are Nd at (0.051, 0.250, 0.476), Nd at (0.338, 0.750, 0.070), Er at (0.161, 0.008, 0.788), Er at (0.211, 0.250, 0.069), Er at (0.381, 0.750, 0.368) and Tl at (0.479, 0.250, 0.339).

The total magnetic moment is 0.0 μB per formula unit. The density of states at the Fermi level comes out at 16.7 states/eV/cell.

Best to worst by energy: #P, #Q.

#P
A plane-wave DFT calculation with PBE was carried out for crystalline Nd2Er2Tl3 at its relaxed geometry.

It has space group C2/m (No. 12), with a = 12.399 Å, b = 3.784 Å, c = 8.701 Å, α = 90.00°, β = 94.06° and γ = 90.00°. The inequivalent atoms are Nd at (0.207, 0.000, 0.159), Er at (0.061, 0.000, 0.714), Tl at (0.000, 0.500, 0.000) and Tl at (0.147, 0.500, 0.457).

The total magnetic moment is 0.0 μB per formula unit. The density of states at the Fermi level comes out at 12.7 states/eV/cell.

#Q
A plane-wave DFT calculation with PBE was carried out for crystalline Nd2Er2Tl3 at its relaxed geometry.

It has space group Cmmm (No. 65), with a = 3.538 Å, b = 32.539 Å, c = 3.611 Å, α = 90.00°, β = 90.00° and γ = 90.00°. The inequivalent atoms are Nd at (0.000, 0.070, 0.000), Er at (0.000, 0.203, 0.000), Tl at (0.000, 0.360, 0.500) and Tl at (0.000, 0.500, 0.500).

The total magnetic moment is 0.0 μB per formula unit. The density of states at the Fermi level comes out at 14.8 states/eV/cell.

Best to worst by energy: #P, #Q.

#P
A plane-wave DFT calculation with PBE was carried out for crystalline Nd3Er2Tm at its relaxed geometry.

It has space group C2/m (No. 12), with a = 13.176 Å, b = 3.544 Å, c = 17.667 Å, α = 90.00°, β = 102.51° and γ = 90.00°. The inequivalent atoms are Nd at (0.068, 0.000, 0.169), Nd at (0.128, 0.500, 0.990), Nd at (0.237, 0.500, 0.338), Er at (0.132, 0.500, 0.500), Er at (0.196, 0.000, 0.834) and Tm at (0.040, 0.500, 0.682).

The total magnetic moment is 0.0 μB per formula unit. The density of states at the Fermi level comes out at 37.9 states/eV/cell.

#Q
A plane-wave DFT calculation with PBE was carried out for crystalline Nd3Er2Tm at its relaxed geometry.

It has space group C2/c (No. 15), with a = 17.867 Å, b = 7.227 Å, c = 6.275 Å, α = 90.00°, β = 103.60° and γ = 90.00°. The inequivalent atoms are Nd at (0.000, 0.128, 0.250), Nd at (0.167, 0.126, 0.025), Er at (0.166, 0.377, 0.528) and Tm at (0.000, 0.379, 0.750).

The total magnetic moment is 0.0 μB per formula unit. The density of states at the Fermi level comes out at 30.7 states/eV/cell.

Best to worst by energy: #Q, #P.

#P
A plane-wave DFT calculation with PBE was carried out for crystalline Nd7Er4Tm at its relaxed geometry.

It has space group C2/m (No. 12), with a = 16.141 Å, b = 5.992 Å, c = 9.406 Å, α = 90.00°, β = 116.36° and γ = 90.00°. The inequivalent atoms are Nd at (0.000, 0.000, 0.000), Nd at (0.085, 0.500, 0.446), Nd at (0.210, 0.500, 0.883), Nd at (0.211, 0.500, 0.236), Er at (0.071, 0.000, 0.698), Er at (0.171, 0.000, 0.385) and Tm at (0.000, 0.500, 0.000).

The total magnetic moment is 0.0 μB per formula unit. The density of states at the Fermi level comes out at 38.0 states/eV/cell.

#Q
A plane-wave DFT calculation with PBE was carried out for crystalline Nd7Er4Tm at its relaxed geometry.

It has space group P-1 (No. 2), with a = 6.307 Å, b = 7.265 Å, c = 8.963 Å, α = 89.97°, β = 76.48° and γ = 89.98°. The inequivalent atoms are Nd at (0.000, 0.000, 0.000), Nd at (0.221, 0.500, 0.335), Nd at (0.280, 0.751, 0.666), Nd at (0.498, 0.248, 0.998), Er at (0.220, 0.000, 0.336), Er at (0.277, 0.247, 0.667) and Tm at (0.000, 0.500, 0.000).

The total magnetic moment is 0.0 μB per formula unit. The density of states at the Fermi level comes out at 15.4 states/eV/cell.

Best to worst by energy: #Q, #P.

#P
A plane-wave DFT calculation with PBE was carried out for crystalline NdEr2Tm9 at its relaxed geometry.

It has space group P4/mmm (No. 123), with a = 4.960 Å, b = 4.960 Å, c = 14.876 Å, α = 90.00°, β = 90.00° and γ = 90.00°. The inequivalent atoms are Nd at (0.000, 0.000, 0.000), Er at (0.000, 0.000, 0.334), Tm at (0.000, 0.500, 0.169), Tm at (0.000, 0.500, 0.500), Tm at (0.500, 0.500, 0.000) and Tm at (0.500, 0.500, 0.335).

The total magnetic moment is 0.0 μB per formula unit. The density of states at the Fermi level comes out at 17.0 states/eV/cell.

#Q
A plane-wave DFT calculation with PBE was carried out for crystalline NdEr2Tm9 at its relaxed geometry.

It has space group P6/mmm (No. 191), with a = 11.0728 Å, b = 11.0728 Å, c = 3.4805 Å, α = 90.00°, β = 90.00° and γ = 120.00°. The inequivalent atoms are Nd at (0.0000, 0.0000, 0.0000), Er at (0.3333, 0.6667, 0.0000), Tm at (0.0000, 0.5000, 0.0000) and Tm at (0.1789, 0.3578, 0.5000).

The total magnetic moment is 0.0 μB per formula unit. The density of states at the Fermi level comes out at 16.7 states/eV/cell.

Best to worst by energy: #P, #Q.